# KBa2Cu2

An optimized crystal structure of KBa2Cu2 (PBE, Alexandria via LeMat-Bulk).

Values from the calculation:
Energy relative to the lowest polymorph listed for this composition   0.0 kJ/mol of atoms
Formation energy from the elements   0.39 eV per formula unit
Spin magnetization   0.00 μB per cell

Cell lengths 8.956, 8.956, 4.616 Å; angles 90.00, 90.00, 90.00 degrees
Element x y z (fractional)
K 0.000 0.000 0.000
K 0.500 0.500 0.000
Ba 0.166 0.666 0.500
Ba 0.666 0.834 0.500
Ba 0.834 0.334 0.500
Ba 0.334 0.166 0.500
Cu 0.399 0.899 0.000
Cu 0.899 0.601 0.000
Cu 0.601 0.101 0.000
Cu 0.101 0.399 0.000

=====

# KBaCu2

An optimized crystal structure of KBaCu2 (PBE, Alexandria via LeMat-Bulk).

Values from the calculation:
Energy relative to the lowest polymorph listed for this composition   3.5 kJ/mol of atoms
Formation energy from the elements   0.71 eV per formula unit
Spin magnetization   0.00 μB per cell

Cell lengths 8.736, 8.736, 8.736 Å; angles 150.74, 150.84, 41.78 degrees
Element x y z (fractional)
Ba 0.261 0.761 0.500
Cu 0.901 0.901 0.000
Cu 0.840 0.340 0.500
K 0.499 0.499 0.000

=====

# K2Ba4Cu

An optimized crystal structure of K2Ba4Cu (PBE, Alexandria via LeMat-Bulk).

Values from the calculation:
Formation energy from the elements   0.84 eV per formula unit
Spin magnetization   0.00 μB per cell

Cell lengths 6.399, 6.399, 12.027 Å; angles 105.43, 105.43, 90.00 degrees
Element x y z (fractional)
K 0.653 0.653 0.306
K 0.347 0.347 0.694
Ba 0.855 0.855 0.710
Ba 0.145 0.145 0.290
Ba 0.000 0.500 0.000
Ba 0.500 0.000 0.000
Cu 0.000 0.000 0.000